A plane-wave DFT calculation with GGA-PBEsol was carried out for crystalline ZnFeCo at its relaxed geometry.

abc: 2.8554 4.0082 12.0521
angles: 90.00 90.00 90.00
Space group Fmm2 (No. 42)
One atom of each set of equivalent atoms:
Zn 0.0000 0.0000 0.0000 x4
Fe 0.0000 0.0000 0.6729 x4
Co 0.0000 0.0000 0.3296 x4

## Properties
Energy relative to the elements = 0.0567 eV per atom
V = 11.5 Å³/atom
DOS at the Fermi energy = 2.73 states/eV/f.u.
Spin magnetization = 15.34 Bohr magnetons per cell
Offset from the most stable computed form = 53 meV/atom
Calculated total energy = -6.04 eV per atom



A plane-wave DFT calculation with GGA-PBEsol was carried out for crystalline K2PaF7 at its relaxed geometry.

abc: 13.6503 6.6837 8.0920
angles: 90.00 124.93 90.00
Space group C2/c (No. 15)
One atom of each set of equivalent atoms:
K 0.1762 0.0073 0.2503 x8
Pa 0.0000 0.4781 0.7500 x4
F 0.0000 0.1503 0.7500 x4
F 0.0762 0.3649 0.0682 x8
F 0.1136 0.2747 0.4338 x8
F 0.1786 0.3844 0.8541 x8

## Properties
V = 15.1 Å³/atom
DOS at the Fermi energy = 0.00 states/eV/f.u.
Spin magnetization = 0.00 Bohr magnetons per cell
Calculated total energy = -6.12 eV per atom



A plane-wave DFT calculation with GGA-PBEsol was carried out for crystalline Ta5Mo at its relaxed geometry.

abc: 3.2407 3.2407 9.8187
angles: 90.00 90.00 90.00
Space group P4/mmm (No. 123)
One atom of each set of equivalent atoms:
Ta 0.0000 0.0000 0.0000 x1
Ta 0.0000 0.0000 0.3415 x2
Ta 0.5000 0.5000 0.1676 x2
Mo 0.5000 0.5000 0.5000 x1

## Properties
Energy relative to the elements = -0.0654 eV per atom
V = 17.2 Å³/atom
DOS at the Fermi energy = 6.75 states/eV/f.u.
Spin magnetization = 0.00 Bohr magnetons per cell
Offset from the most stable computed form = 0 meV/atom
Calculated total energy = -12.49 eV per atom